Arrangement P

Y8Ag2Ir | PBE | relaxed

Lattice parameters (Å, degrees): 6.1063 8.8922 8.8922 129.80 102.98 102.98
Fractional coordinates of all 11 atoms:
Ag 0.4883 0.7296 0.2899
Ag 0.4883 0.2899 0.7296
Y 0.2914 0.6143 0.8426
Y 0.6472 0.3883 0.1540
Y 0.7677 0.7261 0.7261
Y 0.2914 0.8426 0.6143
Y 0.6472 0.1540 0.3883
Y 0.9861 0.8108 0.1989
Y 0.9861 0.1989 0.8108
Y 0.1232 0.2739 0.2739
Ir 0.2829 0.0054 0.0054

Computed properties:
SG   No. 8
Density   5.9 g/cm³
D(E_F)   12.64 states/eV per cell



Arrangement Q

Y8Ag2Ir | PBE | relaxed

Lattice parameters (Å, degrees): 5.2178 6.8483 9.1834 106.70 106.50 90.00
Fractional coordinates of all 11 atoms:
Y 0.5896 0.4327 0.1792
Y 0.2009 0.3132 0.4017
Y 0.9720 0.2074 0.9440
Y 0.7991 0.6868 0.5983
Y 0.0280 0.7926 0.0560
Y 0.6601 0.9719 0.3203
Y 0.4104 0.5673 0.8208
Y 0.3399 0.0281 0.6797
Ir 0.5000 0.0000 0.0000
Ag 0.1833 0.7194 0.3665
Ag 0.8167 0.2806 0.6335

Computed properties:
SG   No. 12
Density   6.2 g/cm³
D(E_F)   9.93 states/eV per cell



Structures ranked by computed energy, the most stable listed first: arrangement Q, arrangement P.



Arrangement P

Y3AgIr | PBE | relaxed

Lattice parameters (Å, degrees): 5.3753 5.3753 5.3753 90.00 90.00 90.00
Fractional coordinates of all 5 atoms:
Ir 0.0000 0.0000 0.0000
Y 0.0000 0.5000 0.0000
Y 0.5000 0.0000 0.0000
Y 0.0000 0.0000 0.5000
Ag 0.5000 0.5000 0.5000

Computed properties:
SG   No. 221
Density   6.1 g/cm³
D(E_F)   2.66 states/eV per cell



Arrangement Q

Y3AgIr | PBE | relaxed

Lattice parameters (Å, degrees): 5.7434 6.3625 8.6027 111.61 78.87 121.49
Fractional coordinates of all 10 atoms:
Ir 0.9996 0.7504 0.0005
Ir 0.0004 0.2496 0.9995
Y 0.8689 0.7954 0.7141
Y 0.1311 0.2046 0.2859
Y 0.5003 0.1958 0.8909
Y 0.1328 0.4209 0.7149
Y 0.4997 0.8042 0.1091
Y 0.8672 0.5791 0.2851
Ag 0.4771 0.7788 0.4991
Ag 0.5229 0.2212 0.5009

Computed properties:
SG   No. 2
Density   7.6 g/cm³
D(E_F)   8.46 states/eV per cell



Structures ranked by computed energy, the most stable listed first: arrangement Q, arrangement P.



Arrangement P

YAg2Ir2 | PBE | relaxed

Lattice parameters (Å, degrees): 3.9950 3.9950 6.8370 73.01 73.01 90.00
Fractional coordinates of all 5 atoms:
Y 0.0000 0.0000 0.0000
Ir 0.4044 0.4044 0.1913
Ir 0.5956 0.5956 0.8087
Ag 0.7500 0.2500 0.5000
Ag 0.2500 0.7500 0.5000

Computed properties:
SG   No. 139
Density   11.5 g/cm³
D(E_F)   4.08 states/eV per cell



Arrangement Q

YAg2Ir2 | PBE | relaxed

Lattice parameters (Å, degrees): 3.8290 3.8290 7.1284 74.42 74.42 90.00
Fractional coordinates of all 5 atoms:
Ir 0.2500 0.7500 0.5000
Ir 0.7500 0.2500 0.5000
Y 0.0000 0.0000 0.0000
Ag 0.6008 0.6008 0.7984
Ag 0.3992 0.3992 0.2016

Computed properties:
SG   No. 139
Density   11.8 g/cm³
D(E_F)   4.37 states/eV per cell



Structures ranked by computed energy, the most stable listed first: arrangement P, arrangement Q.



Arrangement P

Zn4AgIr | PBE | relaxed

Lattice parameters (Å, degrees): 5.4316 7.2913 5.3739 90.00 63.74 90.00
Fractional coordinates of all 12 atoms:
Zn 0.2462 0.6876 0.7354
Zn 0.2538 0.1876 0.2646
Zn 0.7462 0.8124 0.7354
Zn 0.2463 0.3124 0.7353
Zn 0.7463 0.1876 0.7353
Zn 0.7538 0.3124 0.2646
Zn 0.7537 0.6876 0.2647
Zn 0.2537 0.8124 0.2647
Ir 0.5000 0.0000 0.5000
Ir 0.0000 0.5000 0.5000
Ag 0.5000 0.5000 0.0000
Ag 0.0000 0.0000 0.0000

Computed properties:
SG   No. 12
Density   9.8 g/cm³
D(E_F)   3.94 states/eV per cell



Arrangement Q

Zn4AgIr | PBE | relaxed

Lattice parameters (Å, degrees): 2.9213 4.8509 7.0429 100.61 78.03 72.48
Fractional coordinates of all 6 atoms:
Ir 0.5000 0.5000 0.5000
Zn 0.8475 0.4856 0.8193
Zn 0.3193 0.0162 0.3451
Zn 0.1525 0.5144 0.1807
Zn 0.6807 0.9838 0.6549
Ag 0.0000 0.0000 0.0000

Computed properties:
SG   No. 12
Density   10.4 g/cm³
D(E_F)   2.30 states/eV per cell



Structures ranked by computed energy, the most stable listed first: arrangement Q, arrangement P.



Arrangement P

Zn3AgIr | PBE | relaxed

Lattice parameters (Å, degrees): 4.7844 4.7844 4.7844 90.00 90.00 90.00
Fractional coordinates of all 5 atoms:
Ag 0.5000 0.5000 0.5000
Zn 0.5000 0.0000 0.0000
Zn 0.0000 0.0000 0.5000
Zn 0.0000 0.5000 0.0000
Ir 0.0000 0.0000 0.0000

Computed properties:
SG   No. 221
Density   7.5 g/cm³
D(E_F)   2.12 states/eV per cell



Arrangement Q

Zn3AgIr | PBE | relaxed

Lattice parameters (Å, degrees): 4.7118 5.6201 7.0818 113.38 90.00 90.00
Fractional coordinates of all 10 atoms:
Zn 0.2500 0.5946 0.6659
Zn 0.7500 0.4054 0.3341
Zn 0.2500 0.0713 0.6659
Zn 0.5000 0.0000 0.0000
Zn 0.0000 0.0000 0.0000
Zn 0.7500 0.9287 0.3341
Ir 0.7500 0.8297 0.6593
Ir 0.2500 0.1703 0.3407
Ag 0.7500 0.3580 0.7159
Ag 0.2500 0.6420 0.2841

Computed properties:
SG   No. 63
Density   9.6 g/cm³
D(E_F)   4.35 states/eV per cell



Structures ranked by computed energy, the most stable listed first: arrangement Q, arrangement P.



Arrangement P

Zn6AgIr | PBE | relaxed

Lattice parameters (Å, degrees): 6.7792 6.7792 11.0106 90.00 90.00 110.37
Fractional coordinates of all 32 atoms:
Zn 0.6376 0.8853 0.1205
Zn 0.2494 0.7506 0.9935
Zn 0.6368 0.8931 0.6293
Zn 0.6376 0.8853 0.3795
Zn 0.1069 0.3632 0.8707
Zn 0.1069 0.3632 0.6293
Zn 0.5000 0.5000 0.2500
Zn 0.8853 0.6376 0.3795
Zn 0.3632 0.1069 0.6293
Zn 0.0000 0.0000 0.7500
Zn 0.6368 0.8931 0.8707
Zn 0.8931 0.6368 0.6293
Zn 0.3632 0.1069 0.8707
Zn 0.1147 0.3624 0.3795
Zn 0.0000 0.0000 0.2500
Zn 0.5000 0.5000 0.7500
Zn 0.7506 0.2494 0.9935
Zn 0.3624 0.1147 0.1205
Zn 0.2494 0.7506 0.5065
Zn 0.8931 0.6368 0.8707
Zn 0.7506 0.2494 0.5065
Zn 0.3624 0.1147 0.3795
Zn 0.8853 0.6376 0.1205
Zn 0.1147 0.3624 0.1205
Ag 0.5000 0.5000 0.9973
Ag 0.5000 0.5000 0.5027
Ag 0.7388 0.2612 0.2500
Ag 0.2612 0.7388 0.2500
Ir 0.7286 0.2714 0.7500
Ir 0.2714 0.7286 0.7500
Ir 0.0000 0.0000 0.9967
Ir 0.0000 0.0000 0.5033

Computed properties:
SG   No. 65
Density   9.7 g/cm³
D(E_F)   9.73 states/eV per cell



Arrangement Q

Zn6AgIr | PBE | relaxed

Lattice parameters (Å, degrees): 5.2642 5.2642 5.2642 90.52 90.52 90.52
Fractional coordinates of all 8 atoms:
Zn 0.8333 0.4580 0.8333
Zn 0.1667 0.5420 0.1667
Zn 0.8333 0.8333 0.4580
Zn 0.4580 0.8333 0.8333
Zn 0.5420 0.1667 0.1667
Zn 0.1667 0.1667 0.5420
Ag 0.0000 0.0000 0.0000
Ir 0.5000 0.5000 0.5000

Computed properties:
SG   No. 166
Density   7.9 g/cm³
D(E_F)   2.93 states/eV per cell



Structures ranked by computed energy, the most stable listed first: arrangement P, arrangement Q.



Arrangement P

ZrAgIr2 | PBE | relaxed

Lattice parameters (Å, degrees): 3.9154 4.1115 4.1115 90.00 90.00 90.00
Fractional coordinates of all 4 atoms:
Ir 0.0000 0.5000 0.5000
Ir 0.0000 0.0000 0.0000
Ag 0.5000 0.0000 0.5000
Zr 0.5000 0.5000 0.0000

Computed properties:
SG   No. 123
Density   14.6 g/cm³
D(E_F)   3.76 states/eV per cell



Arrangement Q

ZrAgIr2 | PBE | relaxed

Lattice parameters (Å, degrees): 2.8326 2.8326 8.4414 90.00 90.00 89.99
Fractional coordinates of all 4 atoms:
Ag 0.5000 0.5000 0.7643
Ir 0.0000 0.0000 0.0177
Ir 0.5000 0.5000 0.2297
Zr 0.0000 0.0000 0.4883

Computed properties:
SG   No. 99
Density   14.3 g/cm³
D(E_F)   5.07 states/eV per cell



Arrangement R

ZrAgIr2 | PBE | relaxed

Lattice parameters (Å, degrees): 2.9594 4.9610 5.6272 53.92 90.00 90.00
Fractional coordinates of all 4 atoms:
Ir 0.0000 0.0000 0.0000
Ir 0.5000 0.5000 0.0000
Zr 0.5000 0.5000 0.5000
Ag 0.0000 0.0000 0.5000

Computed properties:
SG   No. 10
Density   14.5 g/cm³
D(E_F)   3.29 states/eV per cell



Structures ranked by computed energy, the most stable listed first: arrangement P, arrangement R, arrangement Q.



Arrangement P

ZrAgIr2 | PBE | relaxed

Lattice parameters (Å, degrees): 7.3038 7.3038 5.8710 51.54 51.54 90.00
Fractional coordinates of all 8 atoms:
Ag 0.7500 0.2500 0.5000
Ag 0.0000 0.0000 0.0000
Ir 0.6134 0.1250 0.2500
Ir 0.1366 0.6250 0.2500
Ir 0.8750 0.8634 0.7500
Ir 0.3750 0.3866 0.7500
Zr 0.2500 0.7500 0.5000
Zr 0.5000 0.5000 0.0000

Computed properties:
SG   No. 122
Density   13.0 g/cm³
D(E_F)   9.07 states/eV per cell



Arrangement Q

ZrAgIr2 | PBE | relaxed

Lattice parameters (Å, degrees): 4.0611 2.9077 6.3838 63.03 90.00 90.00
Fractional coordinates of all 4 atoms:
Zr 0.0000 0.5138 0.4851
Ir 0.5000 0.2555 0.2453
Ir 0.0000 0.9942 0.0062
Ag 0.5000 0.7365 0.7635

Computed properties:
SG   No. 6
Density   14.4 g/cm³
D(E_F)   3.97 states/eV per cell



Structures ranked by computed energy, the most stable listed first: arrangement Q, arrangement P.